A relaxed Zn2Si2Hg crystal, computed with PBE.

```
data_Zn2Si2Hg
_chemical_formula_sum 'Zn2 Si2 Hg1'
_cell_length_a 4.182
_cell_length_b 4.182
_cell_length_c 6.055
_cell_angle_alpha 69.80
_cell_angle_beta 69.80
_cell_angle_gamma 90.00
_symmetry_space_group_name_H-M 'P 1'
_symmetry_Int_Tables_number 1
loop_
_symmetry_equiv_pos_as_xyz
'x,y,z'
loop_
_atom_site_label
_atom_site_fract_x
_atom_site_fract_y
_atom_site_fract_z
_atom_site_occupancy
Zn1 0.750 0.250 0.500 1
Zn2 0.250 0.750 0.500 1
Si1 0.389 0.389 0.223 1
Si2 0.611 0.611 0.777 1
Hg1 0.000 0.000 0.000 1
```

Values from the calculation:
energy above the lowest structure with this stoichiometry	0.000	eV/atom
SG	I4/mmm (139)
electronic total energy	-2.484	eV/atom
ΔE_f (raw)	255.1	meV per atom

A relaxed Er2Tm5Pu crystal, computed with PBE.

```
data_Er2Tm5Pu
_chemical_formula_sum 'Er4 Tm10 Pu2'
_cell_length_a 6.532
_cell_length_b 6.542
_cell_length_c 11.801
_cell_angle_alpha 77.99
_cell_angle_beta 78.02
_cell_angle_gamma 87.42
_symmetry_space_group_name_H-M 'P 1'
_symmetry_Int_Tables_number 1
loop_
_symmetry_equiv_pos_as_xyz
'x,y,z'
loop_
_atom_site_label
_atom_site_fract_x
_atom_site_fract_y
_atom_site_fract_z
_atom_site_occupancy
Er1 0.500 0.000 0.000 1
Er2 0.500 0.500 0.000 1
Er3 0.500 0.500 0.500 1
Er4 0.000 0.500 0.500 1
Tm1 0.731 0.270 0.750 1
Tm2 0.269 0.730 0.250 1
Tm3 0.251 0.123 0.738 1
Tm4 0.738 0.015 0.519 1
Tm5 0.126 0.250 0.238 1
Tm6 0.986 0.262 0.981 1
Tm7 0.014 0.738 0.019 1
Tm8 0.262 0.985 0.481 1
Tm9 0.874 0.750 0.762 1
Tm10 0.749 0.877 0.262 1
Pu1 0.636 0.367 0.250 1
Pu2 0.364 0.633 0.750 1
```

Values from the calculation:
SG	P-1 (2)
electronic total energy	-5.551	eV/atom
energy of formation from the pure elements	175	meV/atom

A relaxed KLiTe3 crystal, computed with PBE.

```
data_KLiTe3
_chemical_formula_sum 'K1 Li1 Te3'
_cell_length_a 5.333
_cell_length_b 5.333
_cell_length_c 5.333
_cell_angle_alpha 90.00
_cell_angle_beta 90.00
_cell_angle_gamma 90.00
_symmetry_space_group_name_H-M 'P 1'
_symmetry_Int_Tables_number 1
loop_
_symmetry_equiv_pos_as_xyz
'x,y,z'
loop_
_atom_site_label
_atom_site_fract_x
_atom_site_fract_y
_atom_site_fract_z
_atom_site_occupancy
K1 0.500 0.500 0.500 1
Te1 0.000 0.500 0.000 1
Te2 0.000 0.000 0.500 1
Te3 0.500 0.000 0.000 1
Li1 0.000 0.000 0.000 1
```

Values from the calculation:
energy above the lowest structure with this stoichiometry	0.000	eV/atom
SG	Pm-3m (221)
electronic total energy	-2.787	eV/atom
ΔE_f (raw)	-300.2	meV per atom

A relaxed PPtRh2 crystal, computed with PBE.

```
data_PPtRh2
_chemical_formula_sum 'P1 Pt1 Rh2'
_cell_length_a 4.677
_cell_length_b 4.677
_cell_length_c 4.677
_cell_angle_alpha 130.81
_cell_angle_beta 130.81
_cell_angle_gamma 72.11
_symmetry_space_group_name_H-M 'P 1'
_symmetry_Int_Tables_number 1
loop_
_symmetry_equiv_pos_as_xyz
'x,y,z'
loop_
_atom_site_label
_atom_site_fract_x
_atom_site_fract_y
_atom_site_fract_z
_atom_site_occupancy
P1 0.500 0.500 0.000 1
Pt1 0.750 0.250 0.500 1
Rh1 0.000 0.000 0.000 1
Rh2 0.250 0.750 0.500 1
```

Values from the calculation:
SG	I-4m2 (119)
electronic total energy	-6.483	eV/atom
energy of formation from the pure elements	55	meV/atom

A relaxed CsCrCo3 crystal, computed with PBE.

```
data_CsCrCo3
_chemical_formula_sum 'Cs1 Cr1 Co3'
_cell_length_a 4.611
_cell_length_b 4.611
_cell_length_c 4.611
_cell_angle_alpha 90.00
_cell_angle_beta 90.00
_cell_angle_gamma 90.00
_symmetry_space_group_name_H-M 'P 1'
_symmetry_Int_Tables_number 1
loop_
_symmetry_equiv_pos_as_xyz
'x,y,z'
loop_
_atom_site_label
_atom_site_fract_x
_atom_site_fract_y
_atom_site_fract_z
_atom_site_occupancy
Cs1 0.000 0.000 0.000 1
Cr1 0.500 0.500 0.500 1
Co1 0.000 0.500 0.000 1
Co2 0.000 0.000 0.500 1
Co3 0.500 0.000 0.000 1
```

Values from the calculation:
energy above the lowest structure with this stoichiometry	1.502	eV/atom
SG	Pm-3m (221)
electronic total energy	-3.396	eV/atom
energy of formation from the pure elements	2963	meV/atom

A relaxed ZnBiBr crystal, computed with PBE.

```
data_ZnBiBr
_chemical_formula_sum 'Zn2 Bi2 Br2'
_cell_length_a 4.398
_cell_length_b 6.589
_cell_length_c 9.067
_cell_angle_alpha 111.38
_cell_angle_beta 90.00
_cell_angle_gamma 109.49
_symmetry_space_group_name_H-M 'P 1'
_symmetry_Int_Tables_number 1
loop_
_symmetry_equiv_pos_as_xyz
'x,y,z'
loop_
_atom_site_label
_atom_site_fract_x
_atom_site_fract_y
_atom_site_fract_z
_atom_site_occupancy
Zn1 0.127 0.253 0.170 1
Zn2 0.873 0.747 0.830 1
Bi1 0.312 0.624 0.443 1
Bi2 0.688 0.376 0.557 1
Br1 0.088 0.176 0.878 1
Br2 0.912 0.824 0.122 1
```

Values from the calculation:
SG	C2/m (12)
electronic total energy	-2.592	eV/atom
ΔE_f (raw)	-315.9	meV per atom

A relaxed Nd6HgN3 crystal, computed with PBE.

```
data_Nd6HgN3
_chemical_formula_sum 'Nd6 Hg1 N3'
_cell_length_a 3.820
_cell_length_b 8.241
_cell_length_c 8.241
_cell_angle_alpha 110.95
_cell_angle_beta 90.00
_cell_angle_gamma 90.00
_symmetry_space_group_name_H-M 'P 1'
_symmetry_Int_Tables_number 1
loop_
_symmetry_equiv_pos_as_xyz
'x,y,z'
loop_
_atom_site_label
_atom_site_fract_x
_atom_site_fract_y
_atom_site_fract_z
_atom_site_occupancy
Nd1 0.000 0.051 0.308 1
Nd2 0.000 0.949 0.692 1
Nd3 0.000 0.308 0.051 1
Nd4 0.000 0.692 0.949 1
Nd5 0.500 0.686 0.314 1
Nd6 0.500 0.314 0.686 1
Hg1 0.000 0.500 0.500 1
N1 0.500 0.500 0.000 1
N2 0.000 0.000 0.000 1
N3 0.500 0.000 0.500 1
```

Values from the calculation:
SG	Cmmm (65)
electronic total energy	-6.098	eV/atom
ΔE_f (raw)	-709.5	meV per atom

A relaxed KTeRuO6 crystal, computed with PBE.

```
data_KTeRuO6
_chemical_formula_sum 'K1 Te1 Ru1 O6'
_cell_length_a 5.274
_cell_length_b 5.274
_cell_length_c 6.061
_cell_angle_alpha 90.00
_cell_angle_beta 90.00
_cell_angle_gamma 60.00
_symmetry_space_group_name_H-M 'P 1'
_symmetry_Int_Tables_number 1
loop_
_symmetry_equiv_pos_as_xyz
'x,y,z'
loop_
_atom_site_label
_atom_site_fract_x
_atom_site_fract_y
_atom_site_fract_z
_atom_site_occupancy
K1 0.000 0.000 0.000 1
Te1 0.333 0.333 0.500 1
Ru1 0.667 0.667 0.500 1
O1 0.001 0.381 0.319 1
O2 0.381 0.001 0.681 1
O3 0.618 0.381 0.681 1
O4 0.001 0.618 0.681 1
O5 0.381 0.618 0.319 1
O6 0.618 0.001 0.319 1
```

Values from the calculation:
SG	P312 (149)
electronic total energy	-5.944	eV/atom
ΔE_f (raw)	-1136.7	meV per atom

A relaxed CeNi5Rh2 crystal, computed with PBE.

```
data_CeNi5Rh2
_chemical_formula_sum 'Ce1 Ni5 Rh2'
_cell_length_a 3.633
_cell_length_b 6.025
_cell_length_c 6.025
_cell_angle_alpha 72.82
_cell_angle_beta 72.45
_cell_angle_gamma 72.45
_symmetry_space_group_name_H-M 'P 1'
_symmetry_Int_Tables_number 1
loop_
_symmetry_equiv_pos_as_xyz
'x,y,z'
loop_
_atom_site_label
_atom_site_fract_x
_atom_site_fract_y
_atom_site_fract_z
_atom_site_occupancy
Ce1 0.000 0.000 0.000 1
Ni1 0.000 0.500 0.500 1
Ni2 0.635 0.537 0.192 1
Ni3 0.365 0.463 0.808 1
Ni4 0.365 0.808 0.463 1
Ni5 0.635 0.192 0.537 1
Rh1 0.722 0.778 0.778 1
Rh2 0.278 0.222 0.222 1
```

Values from the calculation:
SG	Immm (71)
electronic total energy	-6.267	eV/atom
energy of formation from the pure elements	-74	meV/atom

A relaxed Sc2AlN crystal, computed with PBE.

```
data_Sc2AlN
_chemical_formula_sum 'Sc2 Al1 N1'
_cell_length_a 4.555
_cell_length_b 4.555
_cell_length_c 4.555
_cell_angle_alpha 60.00
_cell_angle_beta 60.00
_cell_angle_gamma 60.00
_symmetry_space_group_name_H-M 'P 1'
_symmetry_Int_Tables_number 1
loop_
_symmetry_equiv_pos_as_xyz
'x,y,z'
loop_
_atom_site_label
_atom_site_fract_x
_atom_site_fract_y
_atom_site_fract_z
_atom_site_occupancy
Sc1 0.250 0.250 0.250 1
Sc2 0.750 0.750 0.750 1
Al1 0.500 0.500 0.500 1
N1 0.000 0.000 0.000 1
```

Values from the calculation:
SG	Fm-3m (225)
electronic total energy	-5.886	eV/atom
ΔE_f (raw)	296.6	meV per atom

A relaxed Pa2CrCo4P3 crystal, computed with PBE.

```
data_Pa2CrCo4P3
_chemical_formula_sum 'Pa2 Cr1 Co4 P3'
_cell_length_a 3.864
_cell_length_b 3.864
_cell_length_c 9.447
_cell_angle_alpha 90.00
_cell_angle_beta 90.00
_cell_angle_gamma 90.00
_symmetry_space_group_name_H-M 'P 1'
_symmetry_Int_Tables_number 1
loop_
_symmetry_equiv_pos_as_xyz
'x,y,z'
loop_
_atom_site_label
_atom_site_fract_x
_atom_site_fract_y
_atom_site_fract_z
_atom_site_occupancy
Pa1 0.500 0.000 0.247 1
Pa2 0.000 0.500 0.753 1
Cr1 0.500 0.500 0.500 1
Co1 0.500 0.500 0.000 1
Co2 0.000 0.000 0.000 1
Co3 0.500 0.000 0.633 1
Co4 0.000 0.500 0.367 1
P1 0.000 0.000 0.500 1
P2 0.500 0.000 0.871 1
P3 0.000 0.500 0.129 1
```

Values from the calculation:
SG	P-4m2 (115)
electronic total energy	-8.148	eV/atom
energy of formation from the pure elements	-822	meV/atom

A relaxed CsRbBiPb crystal, computed with PBE.

```
data_CsRbBiPb
_chemical_formula_sum 'Cs1 Rb1 Bi1 Pb1'
_cell_length_a 6.208
_cell_length_b 6.208
_cell_length_c 6.208
_cell_angle_alpha 60.00
_cell_angle_beta 60.00
_cell_angle_gamma 60.00
_symmetry_space_group_name_H-M 'P 1'
_symmetry_Int_Tables_number 1
loop_
_symmetry_equiv_pos_as_xyz
'x,y,z'
loop_
_atom_site_label
_atom_site_fract_x
_atom_site_fract_y
_atom_site_fract_z
_atom_site_occupancy
Pb1 0.500 0.500 0.500 1
Cs1 0.750 0.750 0.750 1
Bi1 0.250 0.250 0.250 1
Rb1 0.000 0.000 0.000 1
```

Values from the calculation:
energy above the lowest structure with this stoichiometry	0.153	eV/atom
SG	F-43m (216)
electronic total energy	-2.481	eV/atom
energy of formation from the pure elements	-129	meV/atom